P) ## KCrSCl2 (PBE)

Data for KCrSCl2 after structural relaxation.

Values from the calculation:
D(E_F)	0.430	states/eV per atom
total magnetic moment	3.0	Bohr magnetons per cell
calculated density	2.76	Mg/m³

abc: 5.0707 5.0707 4.5404
angles: 90.00 90.00 90.00
Space group P4/mmm (No. 123)
One atom of each set of equivalent atoms:
K: 0.0000 0.0000 0.0000 (multiplicity 1)
Cr: 0.5000 0.5000 0.5000 (multiplicity 1)
S: 0.5000 0.5000 0.0000 (multiplicity 1)
Cl: 0.0000 0.5000 0.5000 (multiplicity 2)

---

Q) ## KCrSCl2 (PBE)

Data for KCrSCl2 after structural relaxation.

Values from the calculation:
D(E_F)	1.318	states/eV per atom
total magnetic moment	3.0	Bohr magnetons per cell
calculated density	1.84	Mg/m³

abc: 5.5884 5.5884 5.6233
angles: 90.00 90.00 90.00
Space group P4/mmm (No. 123)
One atom of each set of equivalent atoms:
K: 0.0000 0.0000 0.0000 (multiplicity 1)
Cr: 0.5000 0.5000 0.5000 (multiplicity 1)
S: 0.0000 0.0000 0.5000 (multiplicity 1)
Cl: 0.0000 0.5000 0.0000 (multiplicity 2)

---

If you had to name the least stable structure above, which would it be? It would be Q).